A geometry-optimized Rb2CdAuO structure, computed with GGA-PBE.

Values from the calculation:
energy: -28.6 eV/cell
space group: P2_1/m (11)
energy relative to the elements, uncorrected: -0.6456 eV/atom
ρ: 5.5 g/cm³
energy above the lowest structure with this stoichiometry: 0.000 eV/f.u.

```
Rb2CdAuO
1.0
-3.8128 -2.4016 1.8864
4.5249 -5.4688 2.1835
-0.1606 5.4671 6.6358
Rb Cd Au O
4 2 2 2
Cartesian
1.0918 -3.1819 7.6440
0.7082 -5.9611 3.3301
-0.5404 0.7785 3.0616
-0.1567 3.5578 7.3755
1.4501 0.1337 6.2641
-0.8987 -2.5371 4.4415
1.7896 -2.1100 4.0937
-1.2381 -0.2934 6.6119
2.7242 -0.7519 7.7117
-2.1727 -1.6514 2.9939
```